## MnBe4W (PBE)

Data for an optimized crystal structure of MnBe4W.

```
MnBe4W
1.0
-3.9250 1.4863 0.9530
-3.0967 -2.7286 1.2198
-1.3738 -0.0118 4.0786
Mn W Be
1 1 4
Cartesian
-2.0989 -0.3135 1.5628
0.0000 0.0000 0.0000
-3.6965 0.5860 3.2980
-5.2519 -0.7846 3.9107
-3.2805 -1.5311 3.4320
-4.5619 -0.7786 1.8621
```

Values from the calculation:
total moment: 0.00 μB/f.u.
Fermi-level density of states: 1.1 states/eV/f.u.
symmetry: F-43m (216)
ΔE_f: -264 meV/atom
crystal system: cubic

## Ce4MgSi2 (PBE)

Data for an optimized crystal structure of Ce4MgSi2.

```
Ce4MgSi2
1.0
4.4931 0.0000 0.0000
2.2465 3.8911 0.0000
2.2465 1.2970 11.1672
Mg Si Ce
1 2 4
Cartesian
0.0000 0.0000 0.0000
6.7396 3.8911 3.3090
2.2465 1.2970 7.8582
4.4931 2.5941 2.0537
6.7396 3.8911 6.3424
4.4931 2.5941 9.1135
2.2465 1.2970 4.8248
```

Values from the calculation:
total moment: 3.61 μB/f.u.
Fermi-level density of states: 22.0 states/eV/f.u.
symmetry: R-3m (166)
formation energy without anion corrections: -0.157 eV/atom
crystal system: trigonal

## Ti3MoP (PBE)

Data for an optimized crystal structure of Ti3MoP.

```
Ti3MoP
1.0
4.4799 0.0000 0.0000
0.0000 4.4799 0.0000
0.0000 0.0000 4.4799
Mo Ti P
1 3 1
Cartesian
2.2399 2.2399 2.2399
0.0000 2.2399 0.0000
0.0000 0.0000 2.2399
2.2399 0.0000 0.0000
0.0000 0.0000 0.0000
```

Values from the calculation:
total moment: 0.00 μB/f.u.
Fermi-level density of states: 4.7 states/eV/f.u.
symmetry: Pm-3m (221)
ΔE_f: 81 meV/atom
crystal system: cubic

## SeBr (PBE)

Data for an optimized crystal structure of SeBr.

```
SeBr
1.0
7.7689 0.0000 0.0000
0.0000 8.2841 0.0000
0.0000 0.0000 10.4444
Se Br
8 8
Cartesian
7.2509 4.1809 0.3995
0.8951 2.9463 9.6134
2.9894 5.3378 4.3912
3.3665 8.2453 10.0449
4.7795 1.1957 0.8310
0.5180 0.0389 4.8227
6.8738 7.0884 6.0532
4.4024 4.1032 5.6217
5.1169 4.2503 9.6878
5.8411 7.9736 2.4204
5.8122 0.3105 7.6426
2.6520 0.1082 5.9788
6.5364 4.0339 4.4656
1.9567 4.4526 8.0240
1.9278 3.8316 2.8018
1.2325 8.1759 0.7566
```

Values from the calculation:
total moment: 0.00 μB/f.u.
Fermi-level density of states: 0.0 states/eV/f.u.
symmetry: P2_12_12_1 (19)
formation energy without anion corrections: -0.069 eV/atom
crystal system: orthorhombic

## Pr5CdHg4 (PBE)

Data for an optimized crystal structure of Pr5CdHg4.

```
Pr5CdHg4
1.0
3.8719 0.0000 0.0000
0.0000 3.8719 0.0000
0.0000 0.0000 19.3180
Pr Hg Cd
5 4 1
Cartesian
1.9360 1.9360 17.3625
1.9360 1.9360 5.8077
1.9360 1.9360 13.5103
1.9360 1.9360 1.9555
1.9360 1.9360 9.6590
0.0000 0.0000 7.7324
0.0000 0.0000 3.8545
0.0000 0.0000 15.4635
0.0000 0.0000 11.5856
0.0000 0.0000 0.0000
```

Values from the calculation:
total moment: 2.31 μB/f.u.
Fermi-level density of states: 11.2 states/eV/f.u.
symmetry: P4/mmm (123)
ΔE_f: -441 meV/atom
crystal system: tetragonal

## BaAsSe2Br (PBE)

Data for an optimized crystal structure of BaAsSe2Br.

```
BaAsSe2Br
1.0
-3.5882 3.3870 3.7206
2.6074 -2.4645 4.7581
4.2431 4.4929 0.0020
Se Ba Br As
2 1 1 1
Cartesian
2.1215 2.2465 0.0010
-1.7941 1.6935 1.8603
0.0000 0.0000 0.0000
1.3037 -1.2323 2.3790
1.6311 2.7077 4.2404
```

Values from the calculation:
total moment: 0.00 μB/f.u.
Fermi-level density of states: 11.2 states/eV/f.u.
symmetry: P4/mmm (123)
formation energy without anion corrections: 0.390 eV/atom
crystal system: tetragonal

## Na2TiReN (PBE)

Data for an optimized crystal structure of Na2TiReN.

```
Na2TiReN
1.0
5.9649 0.0000 0.0000
0.0000 4.4149 0.0000
0.0000 0.0000 5.9649
Na Re Ti N
2 1 1 1
Cartesian
2.9825 0.0000 0.0000
0.0000 0.0000 2.9825
0.0000 2.2074 0.0000
0.0000 0.0000 0.0000
2.9825 2.2074 2.9825
```

Values from the calculation:
total moment: 2.02 μB/f.u.
Fermi-level density of states: 2.5 states/eV/f.u.
symmetry: P4/mmm (123)
formation energy without anion corrections: 2.203 eV/atom
crystal system: tetragonal

## In3AsH (PBE)

Data for an optimized crystal structure of In3AsH.

```
In3AsH
1.0
4.7476 0.0000 0.0000
0.0000 4.7476 0.0000
0.0000 0.0000 4.7476
In As H
3 1 1
Cartesian
2.3738 0.0000 0.0000
0.0000 0.0000 2.3738
0.0000 2.3738 0.0000
2.3738 2.3738 2.3738
0.0000 0.0000 0.0000
```

Values from the calculation:
total moment: 0.00 μB/f.u.
Fermi-level density of states: 2.1 states/eV/f.u.
symmetry: Pm-3m (221)
crystal system: cubic

## KRbFe2 (PBE)

Data for an optimized crystal structure of KRbFe2.

```
KRbFe2
1.0
0.0000 4.1033 4.1033
4.1033 0.0000 4.1033
4.1033 4.1033 0.0000
Rb K Fe
1 1 2
Cartesian
4.1033 4.1033 4.1033
0.0000 0.0000 0.0000
6.1550 6.1550 6.1550
2.0517 2.0517 2.0517
```

Values from the calculation:
total moment: 6.27 μB/f.u.
Fermi-level density of states: 2.7 states/eV/f.u.
symmetry: Fm-3m (225)
ΔE_f: 1522 meV/atom
crystal system: cubic

## TiCuIrRh (PBE)

Data for an optimized crystal structure of TiCuIrRh.

```
TiCuIrRh
1.0
4.3009 0.0000 0.0000
2.1505 3.7247 0.0000
2.1505 1.2416 3.5117
Ti Ir Rh Cu
1 1 1 1
Cartesian
6.4514 3.7247 2.6338
0.0000 0.0000 0.0000
4.3009 2.4831 1.7558
2.1505 1.2416 0.8779
```

Values from the calculation:
total moment: 0.00 μB/f.u.
Fermi-level density of states: 5.7 states/eV/f.u.
symmetry: F-43m (216)
ΔE_f: -488 meV/atom
crystal system: cubic

## Ta2Mo3 (PBE)

Data for an optimized crystal structure of Ta2Mo3.

```
Ta2Mo3
1.0
-4.9999 -6.0467 2.9628
-2.6476 -4.5313 6.5420
2.2054 6.8290 -4.3408
Ta Mo
2 3
Cartesian
-3.0541 -4.2244 3.7958
-1.5344 -2.1224 1.9071
-4.5638 -6.3127 5.6722
-0.0247 -0.0342 0.0307
-6.1180 -8.4624 7.6039
```

Values from the calculation:
total moment: 0.00 μB/f.u.
Fermi-level density of states: 3.3 states/eV/f.u.
symmetry: I4/mmm (139)
ΔE_f: -196 meV/atom
crystal system: tetragonal

## ZnSb2Pb (PBE)

Data for an optimized crystal structure of ZnSb2Pb.

```
ZnSb2Pb
1.0
-0.5141 -2.1474 -2.4738
0.8539 -1.9505 2.5420
-9.3766 -0.7345 2.5861
Sb Pb Zn
2 1 1
Cartesian
-9.3335 -0.7311 2.5742
-2.5606 -2.2628 0.7872
-6.6057 -2.5797 1.9028
-4.6019 -0.3605 1.2692
```

Values from the calculation:
total moment: 0.00 μB/f.u.
Fermi-level density of states: 1.7 states/eV/f.u.
symmetry: Cmm2 (35)
formation energy without anion corrections: 0.185 eV/atom
crystal system: orthorhombic

## VCu5Pd4 (PBE)

Data for an optimized crystal structure of VCu5Pd4.

```
VCu5Pd4
1.0
2.5650 0.0000 -0.7111
-1.4637 6.3576 -5.2796
1.0885 -0.7787 8.9077
Pd Cu V
4 5 1
Cartesian
-0.8572 5.4746 -3.0919
3.0470 0.1043 6.0090
1.1874 2.4804 -0.6986
1.0024 3.0985 3.6157
1.7252 3.9751 1.2414
0.4646 1.6038 1.6756
0.5506 3.1788 -2.9953
2.3504 0.7203 3.4963
-0.1606 4.8586 -0.5792
1.2825 0.0000 -0.3556
```

Values from the calculation:
total moment: 0.00 μB/f.u.
Fermi-level density of states: 6.0 states/eV/f.u.
symmetry: C2/m (12)
ΔE_f: -23 meV/atom
crystal system: monoclinic

## LaSiRh2 (PBE)

Data for an optimized crystal structure of LaSiRh2.

```
LaSiRh2
1.0
-2.0165 -0.7523 3.5574
-3.2025 -2.6487 0.1251
2.3773 -4.7882 1.8240
La Si Rh
1 1 2
Cartesian
-0.3389 -2.0184 1.2323
-0.5889 -4.9532 2.9402
1.6811 -4.4115 1.8565
-2.6386 -5.6888 4.0548
```

Values from the calculation:
total moment: 0.00 μB/f.u.
Fermi-level density of states: 3.1 states/eV/f.u.
symmetry: Cm (8)
formation energy without anion corrections: -0.772 eV/atom
crystal system: monoclinic

## MgZn6Ir2 (PBE)

Data for an optimized crystal structure of MgZn6Ir2.

```
MgZn6Ir2
1.0
5.0644 0.0609 -0.3981
-0.4604 5.0352 -0.5166
0.0380 0.1638 5.0798
Zn Ir Mg
6 2 1
Cartesian
2.1571 4.2319 0.2422
4.1384 0.9950 2.1219
0.5037 4.2649 2.0432
3.9745 2.5966 0.2819
0.6676 2.6632 3.8832
2.4849 1.0279 3.9229
1.5024 1.7006 1.3465
3.1396 3.5593 2.8186
0.0000 0.0000 0.0000
```

Values from the calculation:
total moment: 0.00 μB/f.u.
Fermi-level density of states: 3.1 states/eV/f.u.
symmetry: R-3m (166)
ΔE_f: -175 meV/atom
crystal system: trigonal

## BS5I (PBE)

Data for an optimized crystal structure of BS5I.

```
BS5I
1.0
-3.5718 -3.9653 1.1977
3.1076 -0.3238 -2.7934
7.4644 -1.8015 9.3009
S B I
5 1 1
Cartesian
0.0443 -1.0612 1.2292
3.1285 -1.0210 0.4547
4.0282 -3.5830 7.0840
6.6523 -2.2444 5.4733
-2.0725 -3.7463 1.7835
2.8348 -4.5038 6.0316
3.4892 -4.1749 3.5774
```

Values from the calculation:
total moment: 0.00 μB/f.u.
Fermi-level density of states: 0.0 states/eV/f.u.
symmetry: C2 (5)
formation energy without anion corrections: 0.123 eV/atom
crystal system: monoclinic

## LaIn2Re (PBE)

Data for an optimized crystal structure of LaIn2Re.

```
LaIn2Re
1.0
4.8924 0.0000 0.0000
0.0000 3.1213 -0.0494
0.0000 1.5987 5.9789
In La Re
2 1 1
Cartesian
0.0000 2.7183 3.1468
0.0000 4.3617 5.7475
2.4462 1.1800 1.4824
2.4462 3.5400 4.4471
```

Values from the calculation:
total moment: 0.00 μB/f.u.
Fermi-level density of states: 2.6 states/eV/f.u.
symmetry: P2/m (10)
ΔE_f: 246 meV/atom
crystal system: monoclinic

## BaLaH8Pt2 (PBE)

Data for an optimized crystal structure of BaLaH8Pt2.

```
BaLaH8Pt2
1.0
-4.1880 2.4976 0.9716
-4.3455 -2.4091 0.1840
-1.9312 -1.0963 7.2161
H Pt La Ba
8 2 1 1
Cartesian
-6.2181 -1.3170 2.0268
-6.1436 1.0034 2.3992
-2.3379 -0.5950 4.1742
-4.1631 -0.1777 1.9398
-8.1267 -0.4128 4.1975
-4.3210 -2.0112 5.9724
-6.3015 -0.8301 6.4319
-4.2465 0.3092 6.3449
-2.5596 -0.3216 2.5157
-7.9050 -0.6862 5.8560
-5.2323 -0.5039 4.1858
0.0000 0.0000 0.0000
```

Values from the calculation:
total moment: 0.00 μB/f.u.
Fermi-level density of states: 4.7 states/eV/f.u.
symmetry: R-3m (166)
crystal system: trigonal

## LiSc2Os (PBE)

Data for an optimized crystal structure of LiSc2Os.

```
LiSc2Os
1.0
-1.8923 -2.5806 -0.4075
1.8769 -0.9928 -2.4286
4.3228 -3.9527 4.9567
Sc Os Li
2 1 1
Cartesian
4.1116 -3.7595 4.7145
2.3726 -2.1694 2.7205
3.2344 -4.7512 2.2994
1.0730 -2.7748 -0.1789
```

Values from the calculation:
total moment: 0.00 μB/f.u.
Fermi-level density of states: 1.7 states/eV/f.u.
symmetry: P4/mmm (123)
ΔE_f: -286 meV/atom
crystal system: tetragonal

## TcAg4Cl (PBE)

Data for an optimized crystal structure of TcAg4Cl.

```
TcAg4Cl
1.0
2.5210 -4.9251 -0.2700
-2.2317 -4.0935 -2.9913
2.4158 -1.6202 -4.7142
Ag Tc Cl
4 1 1
Cartesian
1.0138 -3.9870 -2.9890
2.2766 -6.4542 -3.1242
2.2239 -4.7986 -5.3505
-0.1042 -6.0376 -4.4874
0.0000 0.0000 0.0000
2.0288 -7.9791 -5.9817
```

Values from the calculation:
total moment: 3.96 μB/f.u.
Fermi-level density of states: 4.1 states/eV/f.u.
symmetry: F-43m (216)
formation energy without anion corrections: 0.669 eV/atom
crystal system: cubic

Taking the records one at a time from the top gives theoretical density values of 8.1 5.5 5.0 3.1 9.3 3.3 3.1 6.5 2.8 12.0 12.9 8.2 9.5 7.7 10.2 2.2 10.0 7.5 6.0 7.8 g/cm³.
Taking the records one at a time from the top gives total DFT energy (no corrections) values of -6.43 -5.32 -7.90 -2.65 -3.04 -2.65 -4.06 -3.00 -3.23 -7.54 -11.44 -3.12 -5.06 -7.04 -3.17 -4.00 -5.47 -4.14 -6.74 -3.27 eV/atom.